1.
# ScTlHgBr6 (PBE-GGA, relaxed)
# Crystal system   monoclinic
# Magnetic moment   0.0 μB per formula unit
# Uncorrected formation energy   -1082 meV per atom
# Total DFT energy (no corrections)   -57.6 eV per cell
data_ScTlHgBr6
_chemical_formula_sum 'Sc2 Tl2 Hg2 Br12'
_space_group_name_H-M_alt 'C 1 2 1'
_space_group_IT_number 5
_space_group_name_Hall 'C 2y'
_cell_length_a 7.2008
_cell_length_b 12.4913
_cell_length_c 7.2212
_cell_angle_alpha 90.00
_cell_angle_beta 90.09
_cell_angle_gamma 90.00
loop_
_atom_site_label
_atom_site_fract_x
_atom_site_fract_y
_atom_site_fract_z
_atom_site_occupancy
Sc1 0.0000 0.0000 0.0000 1
Tl1 0.0000 0.6664 0.5000 1
Hg1 0.0000 0.3331 0.0000 1
Br1 0.1274 0.1568 0.7812 1
Br2 0.1721 0.8578 0.7814 1
Br3 0.2008 0.4848 0.7807 1



2.
# Rb3GaSn (PBE-GGA, relaxed)
# Crystal system   monoclinic
# Calculated formation energy   -1 meV per atom
# Magnetic moment   0.4 μB per formula unit
# ΔE to the lowest computed polymorph   0.0 meV per atom
# Total DFT energy (no corrections)   -39.7 eV per cell
data_Rb3GaSn
_chemical_formula_sum 'Rb12 Ga4 Sn4'
_space_group_name_H-M_alt 'C 1 2/m 1'
_space_group_IT_number 12
_space_group_name_Hall '-C 2y'
_cell_length_a 12.8244
_cell_length_b 11.4788
_cell_length_c 8.8327
_cell_angle_alpha 90.00
_cell_angle_beta 128.37
_cell_angle_gamma 90.00
loop_
_atom_site_label
_atom_site_fract_x
_atom_site_fract_y
_atom_site_fract_z
_atom_site_occupancy
Rb1 0.0504 0.0000 0.2640 1
Rb2 0.2260 0.3068 0.2082 1
Ga1 0.2025 0.5000 0.8212 1
Sn1 0.0707 0.5000 0.4130 1



3.
# LiMg14Fe (PBE-GGA, relaxed)
# Crystal system   orthorhombic
# Calculated formation energy   60 meV per atom
# Magnetic moment   2.7 μB per formula unit
# ΔE to the lowest computed polymorph   5.9 meV per atom
# Total DFT energy (no corrections)   -63.5 eV per cell
data_LiMg14Fe
_chemical_formula_sum 'Li2 Mg28 Fe2'
_space_group_name_H-M_alt 'A m m 2'
_space_group_IT_number 38
_space_group_name_Hall 'A 2 -2'
_cell_length_a 10.0999
_cell_length_b 6.3065
_cell_length_c 10.7653
_cell_angle_alpha 90.00
_cell_angle_beta 90.00
_cell_angle_gamma 90.00
loop_
_atom_site_label
_atom_site_fract_x
_atom_site_fract_y
_atom_site_fract_z
_atom_site_occupancy
Li1 0.0000 0.0000 0.0000 1
Mg1 0.0000 0.2482 0.7555 1
Mg2 0.2317 0.2447 0.5770 1
Mg3 0.2396 0.0000 0.3349 1
Mg4 0.2496 0.0000 0.8314 1
Mg5 0.5000 0.0000 0.0013 1
Mg6 0.5000 0.0000 0.5006 1
Mg7 0.5000 0.2482 0.2485 1
Fe1 0.0000 0.0000 0.4996 1



4.
# FeTe5 (PBE-GGA, relaxed)
# Crystal system   monoclinic
# Magnetic moment   0.0 μB per formula unit
# Uncorrected formation energy   105 meV per atom
# Total DFT energy (no corrections)   -47.1 eV per cell
data_FeTe5
_chemical_formula_sum 'Fe2 Te10'
_space_group_name_H-M_alt 'C 1 m 1'
_space_group_IT_number 8
_space_group_name_Hall 'C -2y'
_cell_length_a 12.6881
_cell_length_b 3.5046
_cell_length_c 7.8974
_cell_angle_alpha 90.00
_cell_angle_beta 103.23
_cell_angle_gamma 90.00
loop_
_atom_site_label
_atom_site_fract_x
_atom_site_fract_y
_atom_site_fract_z
_atom_site_occupancy
Fe1 0.0000 0.0000 0.0000 1
Te1 0.0234 0.5000 0.7697 1
Te2 0.1410 0.5000 0.1519 1
Te3 0.2893 0.0000 0.5808 1
Te4 0.3424 0.0000 0.9742 1
Te5 0.4627 0.5000 0.3118 1



5.
# EuYTl (PBE-GGA, relaxed)
# Crystal system   cubic
# Calculated formation energy   -83 meV per atom
# Magnetic moment   7.2 μB per formula unit
# ΔE to the lowest computed polymorph   138.5 meV per atom
# Total DFT energy (no corrections)   -77.4 eV per cell
data_EuYTl
_chemical_formula_sum 'Eu4 Y4 Tl4'
_space_group_name_H-M_alt 'F -4 3 m'
_space_group_IT_number 216
_space_group_name_Hall 'F -4 2 3'
_cell_length_a 7.5626
_cell_length_b 7.5626
_cell_length_c 7.5626
_cell_angle_alpha 90.00
_cell_angle_beta 90.00
_cell_angle_gamma 90.00
loop_
_atom_site_label
_atom_site_fract_x
_atom_site_fract_y
_atom_site_fract_z
_atom_site_occupancy
Eu1 0.0000 0.0000 0.0000 1
Y1 0.0000 0.0000 0.5000 1
Tl1 0.2500 0.2500 0.7500 1



6.
# Zr2OsCl (PBE-GGA, relaxed)
# Crystal system   tetragonal
# Magnetic moment   0.0 μB per formula unit
# Uncorrected formation energy   -125 meV per atom
# ΔE to the lowest computed polymorph   555.3 meV per atom
# Total DFT energy (no corrections)   -30.7 eV per cell
data_Zr2OsCl
_chemical_formula_sum 'Zr2 Os1 Cl1'
_space_group_name_H-M_alt 'P 4 m m'
_space_group_IT_number 99
_space_group_name_Hall 'P 4 -2'
_cell_length_a 3.2944
_cell_length_b 3.2944
_cell_length_c 8.3334
_cell_angle_alpha 90.00
_cell_angle_beta 90.00
_cell_angle_gamma 90.00
loop_
_atom_site_label
_atom_site_fract_x
_atom_site_fract_y
_atom_site_fract_z
_atom_site_occupancy
Zr1 0.0000 0.0000 0.0000 1
Zr2 0.5000 0.5000 0.2608 1
Os1 0.5000 0.5000 0.8473 1
Cl1 0.0000 0.0000 0.4534 1



7.
# SmHoZr2N4 (PBE-GGA, relaxed)
# Crystal system   monoclinic
# Magnetic moment   0.0 μB per formula unit
# Uncorrected formation energy   -1672 meV per atom
# Total DFT energy (no corrections)   -73.1 eV per cell
data_SmHoZr2N4
_chemical_formula_sum 'Sm1 Ho1 Zr2 N4'
_space_group_name_H-M_alt 'P 1 2/m 1'
_space_group_IT_number 10
_space_group_name_Hall '-P 2y'
_cell_length_a 5.8213
_cell_length_b 3.3619
_cell_length_c 5.8948
_cell_angle_alpha 90.00
_cell_angle_beta 109.25
_cell_angle_gamma 90.00
loop_
_atom_site_label
_atom_site_fract_x
_atom_site_fract_y
_atom_site_fract_z
_atom_site_occupancy
Sm1 0.0000 0.0000 0.0000 1
Ho1 0.5000 0.5000 0.0000 1
Zr1 0.0000 0.5000 0.5000 1
Zr2 0.5000 0.0000 0.5000 1
N1 0.2490 0.0000 0.7309 1
N2 0.2627 0.5000 0.2739 1



8.
# Ce2ReSi (PBE-GGA, relaxed)
# Crystal system   trigonal
# Magnetic moment   0.0 μB per formula unit
# Uncorrected formation energy   337 meV per atom
# ΔE to the lowest computed polymorph   522.9 meV per atom
# Total DFT energy (no corrections)   -85.2 eV per cell
data_Ce2ReSi
_chemical_formula_sum 'Ce6 Re3 Si3'
_space_group_name_H-M_alt 'R -3 m'
_space_group_IT_number 166
_space_group_name_Hall '-R 3 2"'
_cell_length_a 2.9976
_cell_length_b 2.9976
_cell_length_c 31.1138
_cell_angle_alpha 90.00
_cell_angle_beta 90.00
_cell_angle_gamma 120.00
loop_
_atom_site_label
_atom_site_fract_x
_atom_site_fract_y
_atom_site_fract_z
_atom_site_occupancy
Ce1 0.0000 0.0000 0.0845 1
Re1 0.0000 0.0000 0.0000 1
Si1 0.0000 0.0000 0.5000 1



9.
# TlFe2Pt (PBE-GGA, relaxed)
# Crystal system   monoclinic
# Calculated formation energy   230 meV per atom
# Magnetic moment   5.9 μB per formula unit
# ΔE to the lowest computed polymorph   40.5 meV per atom
# Total DFT energy (no corrections)   -24.4 eV per cell
data_TlFe2Pt
_chemical_formula_sum 'Tl1 Fe2 Pt1'
_space_group_name_H-M_alt 'P 1 2/m 1'
_space_group_IT_number 10
_space_group_name_Hall '-P 2y'
_cell_length_a 2.8276
_cell_length_b 3.8776
_cell_length_c 5.9228
_cell_angle_alpha 90.00
_cell_angle_beta 90.12
_cell_angle_gamma 90.00
loop_
_atom_site_label
_atom_site_fract_x
_atom_site_fract_y
_atom_site_fract_z
_atom_site_occupancy
Tl1 0.0000 0.0000 0.0000 1
Fe1 0.5002 0.5000 0.2925 1
Pt1 0.0000 0.0000 0.5000 1



10.
# PdSe2I (PBE-GGA, relaxed)
# Crystal system   monoclinic
# Magnetic moment   0.0 μB per formula unit
# Uncorrected formation energy   -174 meV per atom
# ΔE to the lowest computed polymorph   12.9 meV per atom
# Total DFT energy (no corrections)   -57.6 eV per cell
data_PdSe2I
_chemical_formula_sum 'Pd4 Se8 I4'
_space_group_name_H-M_alt 'C 1 m 1'
_space_group_IT_number 8
_space_group_name_Hall 'C -2y'
_cell_length_a 20.4653
_cell_length_b 3.8118
_cell_length_c 6.6088
_cell_angle_alpha 90.00
_cell_angle_beta 98.41
_cell_angle_gamma 90.00
loop_
_atom_site_label
_atom_site_fract_x
_atom_site_fract_y
_atom_site_fract_z
_atom_site_occupancy
Pd1 0.0000 0.0000 0.0000 1
Pd2 0.1702 0.5000 0.2437 1
Se1 0.0473 0.5000 0.2137 1
Se2 0.0930 0.0000 0.7263 1
Se3 0.1799 0.0000 0.5036 1
Se4 0.1836 0.0000 0.9941 1
I1 0.3050 0.5000 0.3034 1
I2 0.4252 0.0000 0.8032 1



11.
# Sr2BiHPd6 (PBE-GGA, relaxed)
# Crystal system   monoclinic
# Magnetic moment   0.0 μB per formula unit
# Total DFT energy (no corrections)   -93.0 eV per cell
data_Sr2BiHPd6
_chemical_formula_sum 'Sr4 Bi2 H2 Pd12'
_space_group_name_H-M_alt 'C 1 2/m 1'
_space_group_IT_number 12
_space_group_name_Hall '-C 2y'
_cell_length_a 10.3526
_cell_length_b 5.9529
_cell_length_c 7.2386
_cell_angle_alpha 90.00
_cell_angle_beta 117.99
_cell_angle_gamma 90.00
loop_
_atom_site_label
_atom_site_fract_x
_atom_site_fract_y
_atom_site_fract_z
_atom_site_occupancy
Sr1 0.2304 0.0000 0.1870 1
Bi1 0.0000 0.5000 0.0000 1
H1 0.0000 0.0000 0.5000 1
Pd1 0.0268 0.2466 0.3298 1
Pd2 0.2221 0.0000 0.6716 1



12.
# MgCdIr2 (PBE-GGA, relaxed)
# Crystal system   monoclinic
# Calculated formation energy   -27 meV per atom
# Magnetic moment   0.0 μB per formula unit
# Total DFT energy (no corrections)   -40.7 eV per cell
data_MgCdIr2
_chemical_formula_sum 'Mg2 Cd2 Ir4'
_space_group_name_H-M_alt 'C 1 m 1'
_space_group_IT_number 8
_space_group_name_Hall 'C -2y'
_cell_length_a 9.5671
_cell_length_b 2.9118
_cell_length_c 4.8411
_cell_angle_alpha 90.00
_cell_angle_beta 101.77
_cell_angle_gamma 90.00
loop_
_atom_site_label
_atom_site_fract_x
_atom_site_fract_y
_atom_site_fract_z
_atom_site_occupancy
Mg1 0.0000 0.0000 0.0000 1
Cd1 0.2680 0.5000 0.2460 1
Ir1 0.0215 0.5000 0.5358 1
Ir2 0.2517 0.0000 0.7296 1



13.
# AgAs2F6 (PBE-GGA, relaxed)
# Crystal system   monoclinic
# Magnetic moment   0.0 μB per formula unit
# Uncorrected formation energy   -1719 meV per atom
# Total DFT energy (no corrections)   -155.4 eV per cell
data_AgAs2F6
_chemical_formula_sum 'Ag4 As8 F24'
_space_group_name_H-M_alt 'C 1 2/c 1'
_space_group_IT_number 15
_space_group_name_Hall '-C 2yc'
_cell_length_a 10.2333
_cell_length_b 11.9804
_cell_length_c 5.6267
_cell_angle_alpha 90.00
_cell_angle_beta 98.42
_cell_angle_gamma 90.00
loop_
_atom_site_label
_atom_site_fract_x
_atom_site_fract_y
_atom_site_fract_z
_atom_site_occupancy
Ag1 0.0000 0.0373 0.2500 1
As1 0.2467 0.3755 0.1760 1
F1 0.1361 0.2583 0.1093 1
F2 0.1456 0.1989 0.6053 1
F3 0.1536 0.4364 0.3869 1



14.
# Li6CdPd (PBE-GGA, relaxed)
# Crystal system   orthorhombic
# Calculated formation energy   -205 meV per atom
# Magnetic moment   0.0 μB per formula unit
# ΔE to the lowest computed polymorph   3.0 meV per atom
# Total DFT energy (no corrections)   -153.9 eV per cell
data_Li6CdPd
_chemical_formula_sum 'Li48 Cd8 Pd8'
_space_group_name_H-M_alt 'C m m m'
_space_group_IT_number 65
_space_group_name_Hall '-C 2 2'
_cell_length_a 6.2665
_cell_length_b 13.2195
_cell_length_c 12.7709
_cell_angle_alpha 90.00
_cell_angle_beta 90.00
_cell_angle_gamma 90.00
loop_
_atom_site_label
_atom_site_fract_x
_atom_site_fract_y
_atom_site_fract_z
_atom_site_occupancy
Li1 0.0000 0.0000 0.0000 1
Li2 0.0000 0.0000 0.5000 1
Li3 0.0000 0.2451 0.2394 1
Li4 0.0000 0.5000 0.0000 1
Li5 0.0000 0.5000 0.5000 1
Li6 0.2345 0.3818 0.3618 1
Li7 0.2350 0.3689 0.1151 1
Cd1 0.0000 0.0000 0.2341 1
Cd2 0.0000 0.2431 0.5000 1
Pd1 0.0000 0.2434 0.0000 1
Pd2 0.0000 0.5000 0.2309 1



15.
# CeEuPdPt (PBE-GGA, relaxed)
# Crystal system   cubic
# Calculated formation energy   -806 meV per atom
# Magnetic moment   8.1 μB per formula unit
# Total DFT energy (no corrections)   -122.7 eV per cell
data_CeEuPdPt
_chemical_formula_sum 'Ce4 Eu4 Pd4 Pt4'
_space_group_name_H-M_alt 'F -4 3 m'
_space_group_IT_number 216
_space_group_name_Hall 'F -4 2 3'
_cell_length_a 7.1780
_cell_length_b 7.1780
_cell_length_c 7.1780
_cell_angle_alpha 90.00
_cell_angle_beta 90.00
_cell_angle_gamma 90.00
loop_
_atom_site_label
_atom_site_fract_x
_atom_site_fract_y
_atom_site_fract_z
_atom_site_occupancy
Ce1 0.0000 0.0000 0.0000 1
Eu1 0.0000 0.0000 0.5000 1
Pd1 0.2500 0.2500 0.7500 1
Pt1 0.2500 0.2500 0.2500 1



16.
# Dy12PdAu6 (PBE-GGA, relaxed)
# Crystal system   trigonal
# Calculated formation energy   -489 meV per atom
# Magnetic moment   0.0 μB per formula unit
# Total DFT energy (no corrections)   -268.1 eV per cell
data_Dy12PdAu6
_chemical_formula_sum 'Dy36 Pd3 Au18'
_space_group_name_H-M_alt 'R -3'
_space_group_IT_number 148
_space_group_name_Hall '-R 3'
_cell_length_a 12.7714
_cell_length_b 12.7714
_cell_length_c 11.9690
_cell_angle_alpha 90.00
_cell_angle_beta 90.00
_cell_angle_gamma 120.00
loop_
_atom_site_label
_atom_site_fract_x
_atom_site_fract_y
_atom_site_fract_z
_atom_site_occupancy
Dy1 0.0318 0.8164 0.3955 1
Dy2 0.0453 0.8378 0.8865 1
Pd1 0.0000 0.0000 0.0000 1
Au1 0.0485 0.7817 0.6476 1



17.
# Pr5Sb2Pt (PBE-GGA, relaxed)
# Crystal system   orthorhombic
# Magnetic moment   0.0 μB per formula unit
# Uncorrected formation energy   -659 meV per atom
# Total DFT energy (no corrections)   -173.8 eV per cell
data_Pr5Sb2Pt
_chemical_formula_sum 'Pr20 Sb8 Pt4'
_space_group_name_H-M_alt 'C m c m'
_space_group_IT_number 63
_space_group_name_Hall '-C 2c 2'
_cell_length_a 5.9442
_cell_length_b 9.9350
_cell_length_c 16.8799
_cell_angle_alpha 90.00
_cell_angle_beta 90.00
_cell_angle_gamma 90.00
loop_
_atom_site_label
_atom_site_fract_x
_atom_site_fract_y
_atom_site_fract_z
_atom_site_occupancy
Pr1 0.0000 0.0794 0.0993 1
Pr2 0.0000 0.2447 0.7500 1
Pr3 0.0000 0.4124 0.1096 1
Sb1 0.0000 0.2577 0.5637 1
Pt1 0.0000 0.2220 0.2500 1



18.
# BaVHS2 (PBE-GGA, relaxed)
# Crystal system   tetragonal
# Magnetic moment   2.0 μB per formula unit
# Total DFT energy (no corrections)   -27.8 eV per cell
data_BaVHS2
_chemical_formula_sum 'Ba1 V1 H1 S2'
_space_group_name_H-M_alt 'P 4/m m m'
_space_group_IT_number 123
_space_group_name_Hall '-P 4 2'
_cell_length_a 4.8489
_cell_length_b 4.8489
_cell_length_c 4.0783
_cell_angle_alpha 90.00
_cell_angle_beta 90.00
_cell_angle_gamma 90.00
loop_
_atom_site_label
_atom_site_fract_x
_atom_site_fract_y
_atom_site_fract_z
_atom_site_occupancy
Ba1 0.0000 0.0000 0.0000 1
V1 0.5000 0.5000 0.5000 1
H1 0.5000 0.5000 0.0000 1
S1 0.0000 0.5000 0.5000 1



19.
# Hf2Ir2Os (PBE-GGA, relaxed)
# Crystal system   tetragonal
# Calculated formation energy   -457 meV per atom
# Magnetic moment   0.0 μB per formula unit
# ΔE to the lowest computed polymorph   0.0 meV per atom
# Total DFT energy (no corrections)   -102.3 eV per cell
data_Hf2Ir2Os
_chemical_formula_sum 'Hf4 Ir4 Os2'
_space_group_name_H-M_alt 'P 4/m b m'
_space_group_IT_number 127
_space_group_name_Hall '-P 4 2ab'
_cell_length_a 6.8782
_cell_length_b 6.8782
_cell_length_c 3.7503
_cell_angle_alpha 90.00
_cell_angle_beta 90.00
_cell_angle_gamma 90.00
loop_
_atom_site_label
_atom_site_fract_x
_atom_site_fract_y
_atom_site_fract_z
_atom_site_occupancy
Hf1 0.1757 0.3243 0.0000 1
Ir1 0.1313 0.6313 0.5000 1
Os1 0.0000 0.0000 0.5000 1



20.
# Ba2CaIr (PBE-GGA, relaxed)
# Crystal system   orthorhombic
# Calculated formation energy   -186 meV per atom
# Magnetic moment   0.0 μB per formula unit
# ΔE to the lowest computed polymorph   0.0 meV per atom
# Total DFT energy (no corrections)   -30.9 eV per cell
data_Ba2CaIr
_chemical_formula_sum 'Ba4 Ca2 Ir2'
_space_group_name_H-M_alt 'I m m m'
_space_group_IT_number 71
_space_group_name_Hall '-I 2 2'
_cell_length_a 4.5902
_cell_length_b 5.6933
_cell_length_c 13.5554
_cell_angle_alpha 90.00
_cell_angle_beta 90.00
_cell_angle_gamma 90.00
loop_
_atom_site_label
_atom_site_fract_x
_atom_site_fract_y
_atom_site_fract_z
_atom_site_occupancy
Ba1 0.0000 0.0000 0.1492 1
Ca1 0.0000 0.0000 0.5000 1
Ir1 0.0000 0.5000 0.5000 1